A plane-wave DFT calculation with PBE+U was carried out for crystalline VW3O at its relaxed geometry.

Output
- M_tot (μB/f.u.) = 2.74
- offset from the most stable computed form (eV/f.u.) = 0.000

Structure (POSCAR):
```
VW3O
1.0
4.2144 0.0000 0.0000
0.0000 4.2144 0.0000
0.0000 0.0000 4.2144
V W O
1 3 1
direct
0.0000 0.0000 0.0000 V
0.0000 0.5000 0.5000 W
0.5000 0.0000 0.5000 W
0.5000 0.5000 0.0000 W
0.5000 0.5000 0.5000 O
```